Material: Ge3AsH
Method: DFT, PBE-GGA
State: relaxed

The structure in POSCAR format:
```
Ge3AsH
1.0
4.348 0.000 0.000
0.000 4.348 0.000
0.000 0.000 4.348
H As Ge
1 1 3
direct
0.000 0.000 0.000
0.500 0.500 0.500
0.000 0.500 0.000
0.000 0.000 0.500
0.500 0.000 0.000
```

Calculated values
- total DFT energy (no corrections) (eV/atom) = -3.888
- calculated density (Mg/m³) = 5.94

Material: K2SiNi
Method: DFT, PBE-GGA
State: relaxed

The structure in POSCAR format:
```
K2SiNi
1.0
-0.887 1.334 2.876
-2.888 0.893 -1.305
-3.994 -8.772 2.836
K Ni Si
2 1 1
direct
0.000 0.000 0.910
0.500 0.500 0.337
0.000 0.000 0.593
0.500 0.500 0.660
```

Calculated values
- calculated density (Mg/m³) = 2.52
- formation energy (no corrections) (eV per atom) = 0.184

no.,volume (A^3/atom),N(E_F) (states/eV/atom),total moment (μB/cell)
1,16.44,0.454,0.00
2,27.22,0.802,0.00